i.
Sr2YHg2: optimized geometry, PBE.

Output
total magnetization	0.00	μB per atom
density	6.899	g/cm3

a b c (Å): 9.3378 9.3378 3.6732
angles (deg): 90.00 90.00 90.00
Last column: nearest neighbours and their distance in Å.
Space group P4/mbm (No. 127)
Asymmetric unit:
Sr (0.1371, 0.3629, 0.0000) (multiplicity 4)  6 Hg 3.23-3.35
Y (0.0000, 0.0000, 0.0000) (multiplicity 2)  4 Sr 3.62, 2 Y 3.67, 8 Hg 3.95
Hg (0.1619, 0.6619, 0.5000) (multiplicity 4)  6 Sr 3.23-3.35

ii.
Sr2YHg2: optimized geometry, PBE.

Output
total magnetization	0.00	μB per atom
density	6.560	g/cm3

a b c (Å): 8.6074 8.6074 4.5463
angles (deg): 90.00 90.00 90.00
Last column: nearest neighbours and their distance in Å.
Space group P4/mbm (No. 127)
Asymmetric unit:
Sr (0.1603, 0.3397, 0.0000) (multiplicity 4)  6 Hg 3.29-3.47
Y (0.0000, 0.0000, 0.5000) (multiplicity 2)  4 Hg 3.30
Hg (0.1442, 0.6442, 0.5000) (multiplicity 4)  6 Sr 3.29-3.47, 2 Y 3.30, 1 Hg 3.51

iii.
Sr2YHg2: optimized geometry, PBE.

Output
total magnetization	0.19	μB per atom
density	6.281	g/cm3

a b c (Å): 5.0926 5.0926 13.5637
angles (deg): 90.00 90.00 90.00
Last column: nearest neighbours and their distance in Å.
Space group I4/mmm (No. 139)
Asymmetric unit:
Sr (0.0000, 0.5000, 0.2500) (multiplicity 4)  4 Hg 3.25, 4 Sr 3.60
Y (0.0000, 0.0000, 0.0000) (multiplicity 2)  8 Hg 3.85, 8 Sr 4.24
Hg (0.0000, 0.0000, 0.3989) (multiplicity 4)  1 Hg 2.74

ii is favored, and the nearest alternative lies 152 meV per atom above it.

i.
SrZnHg4: optimized geometry, PBE.

Output
total magnetization	0.00	μB per atom
density	9.945	g/cm3

a b c (Å): 17.2501 7.5624 5.1210
angles (deg): 90.00 107.22 90.00
Last column: nearest neighbours and their distance in Å.
Space group C2/m (No. 12)
Asymmetric unit:
Sr (0.1995, 0.0000, 0.1995) (multiplicity 4)  10 Hg 3.34-3.56
Zn (0.0004, 0.5000, 0.2585) (multiplicity 4)  2 Zn 2.48-2.64, 2 Hg 2.74
Hg (0.0000, 0.1822, 0.0000) (multiplicity 4)  2 Zn 2.74, 1 Hg 2.76
Hg (0.1227, 0.2401, 0.6218) (multiplicity 8)  2 Zn 3.07-3.09, 4 Hg 3.29-3.32, 2 Sr 3.38-3.39
Hg (0.1699, 0.5000, 0.1690) (multiplicity 4)  2 Zn 3.09-3.10, 4 Hg 3.32, 2 Sr 3.34-3.35

ii.
SrZnHg4: optimized geometry, PBE.

Output
total magnetization	0.00	μB per atom
density	9.932	g/cm3

a b c (Å): 4.0932 4.1159 9.7928
angles (deg): 80.50 80.24 83.46
Last column: nearest neighbours and their distance in Å.
Space group P-1 (No. 2)
Asymmetric unit:
Sr (0.0000, 0.0000, 0.0000) (multiplicity 1)  10 Hg 3.33-3.67
Zn (0.5000, 0.5000, 0.5000) (multiplicity 1)  4 Hg 2.75-3.04
Hg (0.0605, 0.0554, 0.6426) (multiplicity 2)  1 Zn 2.75, 1 Hg 3.03
Hg (0.4362, 0.4411, 0.2003) (multiplicity 2)  1 Zn 3.04, 3 Hg 3.09-3.14, 2 Sr 3.33-3.34

i is favored, and the nearest alternative lies 48 meV per atom above it.

i.
Sr2ZnHg: optimized geometry, PBE.

Output
total magnetization	0.00	μB per atom
density	5.876	g/cm3

a b c (Å): 12.1196 3.9301 5.5715
angles (deg): 90.00 109.99 90.00
Last column: nearest neighbours and their distance in Å.
Space group Cm (No. 8)
Asymmetric unit:
Sr (0.0000, 0.0000, 0.0000) (multiplicity 2)  4 Hg 3.43-3.52, 3 Zn 3.47-3.52, 2 Sr 3.62-3.65
Sr (0.2046, 0.0000, 0.6487) (multiplicity 2)  4 Zn 3.43-3.49, 3 Hg 3.44-3.57, 2 Sr 3.62-3.65
Zn (0.2564, 0.5000, 0.1932) (multiplicity 2)  2 Hg 2.96
Hg (0.4428, 0.0000, 0.4473) (multiplicity 2)  2 Zn 2.96

ii.
Sr2ZnHg: optimized geometry, PBE.

Output
total magnetization	0.00	μB per atom
density	3.880	g/cm3

a b c (Å): 4.0543 7.0823 13.1548
angles (deg): 90.00 90.00 90.00
Last column: nearest neighbours and their distance in Å.
Space group Immm (No. 71)
Asymmetric unit:
Sr (0.0000, 0.0000, 0.2487) (multiplicity 4)  1 Zn 3.27, 1 Hg 3.31
Zn (0.0000, 0.0000, 0.0000) (multiplicity 2)  2 Sr 3.27
Hg (0.0000, 0.0000, 0.5000) (multiplicity 2)  2 Sr 3.31

i is favored, and the nearest alternative lies 604 meV per atom above it.